Entry 1
Compound: MgOsC3
Source: Alexandria
Functional: PBE-GGA
Structure: optimized geometry

The value obtained for the size of the total moment is 0.0 Bohr magnetons per cell. The theoretical density comes out at 6.99 g/cm³.

Unit cell a=3.9052 b=3.9052 c=3.9052 alpha=90.00 beta=90.00 gamma=90.00
Space group Pm-3m (No. 221)
One atom of each set of equivalent atoms:
Mg (0.0000, 0.0000, 0.0000) [1 per cell]
Os (0.5000, 0.5000, 0.5000) [1 per cell]
C (0.0000, 0.0000, 0.5000) [3 per cell]

Entry 2
Compound: MgOsC3
Source: Alexandria
Functional: PBE-GGA
Structure: optimized geometry

The value obtained for the size of the total moment is 0.0 Bohr magnetons per cell. The theoretical density comes out at 6.55 g/cm³.

Unit cell a=3.9906 b=3.9906 c=3.9906 alpha=90.00 beta=90.00 gamma=90.00
Space group Pm-3m (No. 221)
One atom of each set of equivalent atoms:
Mg (0.0000, 0.0000, 0.0000) [1 per cell]
Os (0.5000, 0.5000, 0.5000) [1 per cell]
C (0.0000, 0.5000, 0.5000) [3 per cell]

In order of decreasing stability: entry 2, entry 1.

Entry 1
Compound: Mg3OsC
Source: Alexandria
Functional: PBE-GGA
Structure: optimized geometry

The value obtained for the size of the total moment is 2.0 Bohr magnetons per cell. The theoretical density comes out at 5.73 g/cm³.

Unit cell a=4.3031 b=4.3031 c=4.3031 alpha=90.00 beta=90.00 gamma=90.00
Space group Pm-3m (No. 221)
One atom of each set of equivalent atoms:
Mg (0.0000, 0.0000, 0.5000) [3 per cell]
Os (0.5000, 0.5000, 0.5000) [1 per cell]
C (0.0000, 0.0000, 0.0000) [1 per cell]

Entry 2
Compound: Mg3OsC
Source: Alexandria
Functional: PBE-GGA
Structure: optimized geometry

The value obtained for the size of the total moment is 1.5 Bohr magnetons per cell. The theoretical density comes out at 3.77 g/cm³.

Unit cell a=4.9490 b=4.9490 c=4.9490 alpha=90.00 beta=90.00 gamma=90.00
Space group Pm-3m (No. 221)
One atom of each set of equivalent atoms:
Mg (0.0000, 0.0000, 0.5000) [3 per cell]
Os (0.0000, 0.0000, 0.0000) [1 per cell]
C (0.5000, 0.5000, 0.5000) [1 per cell]

In order of decreasing stability: entry 1, entry 2.

Entry 1
Compound: MgP2C2
Source: Alexandria
Functional: PBE-GGA
Structure: optimized geometry

The value obtained for the size of the total moment is 0.0 Bohr magnetons per cell. The theoretical density comes out at 2.76 g/cm³.

Unit cell a=6.6531 b=6.6531 c=3.0010 alpha=90.00 beta=90.00 gamma=90.00
Space group P4/mbm (No. 127)
One atom of each set of equivalent atoms:
Mg (0.0000, 0.0000, 0.0000) [2 per cell]
P (0.1119, 0.3881, 0.5000) [4 per cell]
C (0.2015, 0.2985, 0.0000) [4 per cell]

Entry 2
Compound: MgP2C2
Source: Alexandria
Functional: PBE-GGA
Structure: optimized geometry

The value obtained for the size of the total moment is 0.0 Bohr magnetons per cell. The theoretical density comes out at 2.75 g/cm³.

Unit cell a=3.8746 b=3.8746 c=8.8662 alpha=90.00 beta=90.00 gamma=90.00
Space group I4/mmm (No. 139)
One atom of each set of equivalent atoms:
Mg (0.0000, 0.0000, 0.0000) [2 per cell]
P (0.0000, 0.5000, 0.2500) [4 per cell]
C (0.0000, 0.0000, 0.2499) [4 per cell]

In order of decreasing stability: entry 1, entry 2.

Entry 1
Compound: MgPC3
Source: Alexandria
Functional: PBE-GGA
Structure: optimized geometry

The value obtained for the size of the total moment is 0.0 Bohr magnetons per cell. The theoretical density comes out at 2.22 g/cm³.

Unit cell a=4.0883 b=4.0883 c=4.0883 alpha=90.00 beta=90.00 gamma=90.00
Space group Pm-3m (No. 221)
One atom of each set of equivalent atoms:
Mg (0.0000, 0.0000, 0.0000) [1 per cell]
P (0.5000, 0.5000, 0.5000) [1 per cell]
C (0.0000, 0.0000, 0.5000) [3 per cell]

Entry 2
Compound: MgPC3
Source: Alexandria
Functional: PBE-GGA
Structure: optimized geometry

The value obtained for the size of the total moment is 0.0 Bohr magnetons per cell. The theoretical density comes out at 3.06 g/cm³.

Unit cell a=3.6719 b=3.6719 c=3.6719 alpha=90.00 beta=90.00 gamma=90.00
Space group Pm-3m (No. 221)
One atom of each set of equivalent atoms:
Mg (0.0000, 0.0000, 0.0000) [1 per cell]
P (0.5000, 0.5000, 0.5000) [1 per cell]
C (0.0000, 0.5000, 0.5000) [3 per cell]

In order of decreasing stability: entry 2, entry 1.

Entry 1
Compound: MgP2CS
Source: Alexandria
Functional: PBE-GGA
Structure: optimized geometry

The value obtained for the size of the total moment is 0.0 Bohr magnetons per cell. The theoretical density comes out at 1.97 g/cm³.

Unit cell a=3.7157 b=3.7157 c=7.9526 alpha=90.00 beta=90.00 gamma=90.00
Space group P4/mmm (No. 123)
One atom of each set of equivalent atoms:
Mg (0.0000, 0.0000, 0.0000) [1 per cell]
P (0.0000, 0.5000, 0.5000) [2 per cell]
C (0.5000, 0.5000, 0.5000) [1 per cell]
S (0.5000, 0.5000, 0.0000) [1 per cell]

Entry 2
Compound: MgP2CS
Source: Alexandria
Functional: PBE-GGA
Structure: optimized geometry

The value obtained for the size of the total moment is 1.1 Bohr magnetons per cell. The theoretical density comes out at 2.01 g/cm³.

Unit cell a=4.8289 b=4.8289 c=4.6276 alpha=90.00 beta=90.00 gamma=90.00
Space group P4/mmm (No. 123)
One atom of each set of equivalent atoms:
Mg (0.0000, 0.0000, 0.0000) [1 per cell]
P (0.0000, 0.5000, 0.0000) [2 per cell]
C (0.5000, 0.5000, 0.5000) [1 per cell]
S (0.0000, 0.0000, 0.5000) [1 per cell]

In order of decreasing stability: entry 1, entry 2.

Entry 1
Compound: MgPCS2
Source: Alexandria
Functional: PBE-GGA
Structure: optimized geometry

The value obtained for the size of the total moment is 0.0 Bohr magnetons per cell. The theoretical density comes out at 2.86 g/cm³.

Unit cell a=4.5673 b=4.5673 c=3.6641 alpha=90.00 beta=90.00 gamma=90.00
Space group P4/mmm (No. 123)
One atom of each set of equivalent atoms:
Mg (0.0000, 0.0000, 0.0000) [1 per cell]
P (0.5000, 0.5000, 0.0000) [1 per cell]
C (0.5000, 0.5000, 0.5000) [1 per cell]
S (0.0000, 0.5000, 0.5000) [2 per cell]

Entry 2
Compound: MgPCS2
Source: Alexandria
Functional: PBE-GGA
Structure: optimized geometry

The value obtained for the size of the total moment is 0.1 Bohr magnetons per cell. The theoretical density comes out at 2.00 g/cm³.

Unit cell a=4.7128 b=4.7128 c=4.9164 alpha=90.00 beta=90.00 gamma=90.00
Space group P4/mmm (No. 123)
One atom of each set of equivalent atoms:
Mg (0.0000, 0.0000, 0.0000) [1 per cell]
P (0.0000, 0.0000, 0.5000) [1 per cell]
C (0.5000, 0.5000, 0.5000) [1 per cell]
S (0.0000, 0.5000, 0.0000) [2 per cell]

In order of decreasing stability: entry 1, entry 2.

Entry 1
Compound: MgPb2C
Source: Alexandria
Functional: PBE-GGA
Structure: optimized geometry

The value obtained for the size of the total moment is 0.0 Bohr magnetons per cell. The theoretical density comes out at 8.21 g/cm³.

Unit cell a=7.3556 b=7.3556 c=6.7415 alpha=90.00 beta=90.00 gamma=90.00
Space group I-42d (No. 122)
One atom of each set of equivalent atoms:
Mg (0.0000, 0.0000, 0.0000) [4 per cell]
Pb (0.1776, 0.2500, 0.6250) [8 per cell]
C (0.0000, 0.0000, 0.5000) [4 per cell]

Entry 2
Compound: MgPb2C
Source: Alexandria
Functional: PBE-GGA
Structure: optimized geometry

The value obtained for the size of the total moment is 0.0 Bohr magnetons per cell. The theoretical density comes out at 8.41 g/cm³.

Unit cell a=7.0883 b=7.0883 c=7.0883 alpha=90.00 beta=90.00 gamma=90.00
Space group Fm-3m (No. 225)
One atom of each set of equivalent atoms:
Mg (0.0000, 0.0000, 0.0000) [4 per cell]
Pb (0.2500, 0.2500, 0.2500) [8 per cell]
C (0.0000, 0.0000, 0.5000) [4 per cell]

In order of decreasing stability: entry 1, entry 2.

Entry 1
Compound: Mg3PdC
Source: Alexandria
Functional: PBE-GGA
Structure: optimized geometry

The value obtained for the size of the total moment is 1.3 Bohr magnetons per cell. The theoretical density comes out at 2.69 g/cm³.

Unit cell a=4.9081 b=4.9081 c=4.9081 alpha=90.00 beta=90.00 gamma=90.00
Space group Pm-3m (No. 221)
One atom of each set of equivalent atoms:
Mg (0.0000, 0.0000, 0.5000) [3 per cell]
Pd (0.0000, 0.0000, 0.0000) [1 per cell]
C (0.5000, 0.5000, 0.5000) [1 per cell]

Entry 2
Compound: Mg3PdC
Source: Alexandria
Functional: PBE-GGA
Structure: optimized geometry

The value obtained for the size of the total moment is 0.0 Bohr magnetons per cell. The theoretical density comes out at 3.92 g/cm³.

Unit cell a=4.3274 b=4.3274 c=4.3274 alpha=90.00 beta=90.00 gamma=90.00
Space group Pm-3m (No. 221)
One atom of each set of equivalent atoms:
Mg (0.0000, 0.0000, 0.5000) [3 per cell]
Pd (0.5000, 0.5000, 0.5000) [1 per cell]
C (0.0000, 0.0000, 0.0000) [1 per cell]

In order of decreasing stability: entry 2, entry 1.